--- one ---
This record from the Open Quantum Materials Database describes an optimized crystal structure of ZnCdSO. The functional is PBE-GGA.

a b c (Å): 6.7573 6.9035 12.4490
angles (deg): 90.00 90.00 90.00
With the nearest neighbours (Å) after each atom.
Space group Pbca (No. 61)
One atom of each set of equivalent atoms:
Zn1 0.0944 0.1916 0.0567  1 O 1.97
Cd1 0.1531 0.5565 0.7796  3 O 2.24-2.28
S1 0.2339 0.5740 0.4643  3 Zn 2.30-2.38
O1 0.1148 0.2472 0.2112  1 Zn 1.97

Summary:
Theoretical density, Mg/m³: 5.2

***

--- two ---
This record from the Open Quantum Materials Database describes an optimized crystal structure of ZnCdSO. The functional is PBE-GGA.

a b c (Å): 6.4331 7.2849 6.1377
angles (deg): 90.00 90.00 90.00
With the nearest neighbours (Å) after each atom.
Space group Pca2_1 (No. 29)
One atom of each set of equivalent atoms:
Zn1 0.0667 0.1423 0.0000  1 O 1.97
Cd1 0.1083 0.6115 0.9386  3 O 2.23-2.25
S1 0.0893 0.1284 0.6206  3 Zn 2.33-2.34, 1 Cd 2.54
O1 0.0720 0.6254 0.5784  1 Zn 1.97

Summary:
Theoretical density, Mg/m³: 5.2

***

Relative energies in meV/atom: one 88; two 0

***

--- one ---
This record from the Open Quantum Materials Database describes an optimized crystal structure of PaSe. The functional is PBE-GGA.

a b c (Å): 6.4951 6.4951 6.4951
angles (deg): 90.00 90.00 90.00
With the nearest neighbours (Å) after each atom.
Space group F-43m (No. 216)
One atom of each set of equivalent atoms:
Pa1 0.0000 0.0000 0.0000  4 Se 2.81
Se1 0.2500 0.2500 0.7500  4 Pa 2.81

Summary:
Theoretical density, Mg/m³: 7.5

***

--- two ---
This record from the Open Quantum Materials Database describes an optimized crystal structure of PaSe. The functional is PBE-GGA.

a b c (Å): 3.6184 3.6184 4.1839
angles (deg): 90.00 90.00 120.00
With the nearest neighbours (Å) after each atom.
Space group P-6m2 (No. 187)
One atom of each set of equivalent atoms:
Pa1 0.0000 0.0000 0.0000  6 Se 2.96
Se1 0.6667 0.3333 0.5000  6 Pa 2.96

Summary:
Theoretical density, Mg/m³: 10.9

***

Relative energies in meV/atom: one 739; two 0

***

--- one ---
This record from the Open Quantum Materials Database describes an optimized crystal structure of CsTbSmTe3. The functional is PBE-GGA.

a b c (Å): 4.8892 17.5684 11.8643
angles (deg): 90.00 90.00 90.00
With the nearest neighbours (Å) after each atom.
Space group Cmcm (No. 63)
One atom of each set of equivalent atoms:
Cs1 0.0000 0.2456 0.2500  8 Te 3.97-4.26
Tb1 0.0000 0.5000 0.0000  6 Te 3.19-3.23
Sm1 0.0000 0.0297 0.7500  4 Te 2.98
Te1 0.0000 0.1181 0.5357  1 Sm 2.98, 2 Tb 3.23
Te2 0.0000 0.4326 0.7500  2 Sm 2.98, 2 Tb 3.19

Summary:
Theoretical density, Mg/m³: 5.4

***

--- two ---
This record from the Open Quantum Materials Database describes an optimized crystal structure of CsTbSmTe3. The functional is PBE-GGA.

a b c (Å): 4.8500 17.5050 12.0207
angles (deg): 90.00 90.00 90.00
With the nearest neighbours (Å) after each atom.
Space group Cmcm (No. 63)
One atom of each set of equivalent atoms:
Cs1 0.0000 0.2437 0.2500  8 Te 3.97-4.20
Tb1 0.0000 0.0326 0.7500  4 Te 2.93-2.96
Sm1 0.0000 0.5000 0.0000  6 Te 3.21-3.27
Te1 0.0000 0.1213 0.5433  1 Tb 2.93, 2 Sm 3.27
Te2 0.0000 0.4356 0.7500  2 Tb 2.96, 2 Sm 3.21

Summary:
Theoretical density, Mg/m³: 5.4

***

Relative energies in meV/atom: one 27; two 0

***

--- one ---
This record from the Open Quantum Materials Database describes an optimized crystal structure of Cu4Ag. The functional is PBE-GGA.

a b c (Å): 4.5443 4.5997 6.9816
angles (deg): 102.51 108.55 99.78
With the nearest neighbours (Å) after each atom.
Space group P-1 (No. 2)
One atom of each set of equivalent atoms:
Cu1 0.0000 0.0000 0.0000  8 Cu 2.58-2.65, 4 Ag 2.67-2.69
Cu2 0.0000 0.5000 0.5000  10 Cu 2.58-2.69, 2 Ag 2.62
Cu3 0.1925 0.0832 0.6940  10 Cu 2.57-2.79, 2 Ag 2.65-2.67
Cu4 0.3984 0.2007 0.4000  9 Cu 2.58-2.66, 3 Ag 2.61-2.63
Cu5 0.4074 0.7149 0.8985  9 Cu 2.55-2.79, 3 Ag 2.64-2.71
Ag1 0.2074 0.6049 0.2058  11 Cu 2.61-2.71, 1 Ag 2.73

Summary:
Theoretical density, Mg/m³: 9.2

***

--- two ---
This record from the Open Quantum Materials Database describes an optimized crystal structure of Cu4Ag. The functional is PBE-GGA.

a b c (Å): 2.6803 3.5941 13.4894
angles (deg): 90.00 90.00 90.00
With the nearest neighbours (Å) after each atom.
Space group Pmmm (No. 47)
One atom of each set of equivalent atoms:
Cu1 0.0000 0.0000 0.0000  12 Cu 2.52-2.68
Cu2 0.0000 0.0000 0.1871  11 Cu 2.52-2.68, 1 Ag 2.74
Cu3 0.5000 0.5000 0.0933  12 Cu 2.50-2.68
Cu4 0.5000 0.5000 0.2790  7 Cu 2.50-2.68, 4 Ag 2.70
Cu5 0.5000 0.5000 0.5000  4 Cu 2.68-2.98, 8 Ag 2.69
Ag1 0.0000 0.0000 0.3903  3 Ag 2.68-2.96, 9 Cu 2.69-2.74

Summary:
Theoretical density, Mg/m³: 9.3

***

Relative energies in meV/atom: one 14; two 0